Density functional theory data (GGA-PBE) for a relaxed CaTc3O8 crystal.

Values from the calculation:
The formation energy (no corrections) comes out at -1.425 eV per atom. Its crystal system is monoclinic.

abc: 10.2311 6.3962 6.0555
angles: 90.00 121.28 90.00
With the nearest neighbours (Å) after each atom.
Space group C2/m (No. 12)
One atom of each set of equivalent atoms:
Ca 0.0000 0.0000 0.0000 [2 per cell]  6 O 2.27
Tc 0.0000 0.5000 0.0000 [2 per cell]  6 O 1.98-2.11
Tc 0.2500 0.2500 0.5000 [4 per cell]  6 O 1.98-2.11
O 0.0271 0.2794 0.2509 [8 per cell]  2 Tc 1.98
O 0.2382 0.5000 0.2631 [4 per cell]  3 Tc 2.11
O 0.2477 0.5000 0.6920 [4 per cell]  2 Tc 1.98



Density functional theory data (GGA-PBE) for a relaxed BaZrPS2 crystal.

Values from the calculation:
The formation energy (no corrections) comes out at 0.850 eV per atom. The energy above the most stable polymorph in this dataset is 2154 meV per atom. Its crystal system is tetragonal.

abc: 5.4709 5.4709 5.3920
angles: 90.00 90.00 90.00
With the nearest neighbours (Å) after each atom.
Space group P4/mmm (No. 123)
One atom of each set of equivalent atoms:
Ba 0.0000 0.0000 0.0000 [1 per cell]  2 P 2.70, 4 S 2.74
Zr 0.5000 0.5000 0.5000 [1 per cell]  8 S 3.84, 4 P 3.87
P 0.0000 0.0000 0.5000 [1 per cell]  2 Ba 2.70
S 0.0000 0.5000 0.0000 [2 per cell]  2 Ba 2.74



Density functional theory data (GGA-PBE) for a relaxed MgSiI2 crystal.

Values from the calculation:
The formation energy (no corrections) comes out at 0.294 eV per atom. The energy above the most stable polymorph in this dataset is 106 meV per atom. Its crystal system is cubic.

abc: 7.5527 7.5527 7.5527
angles: 90.00 90.00 90.00
With the nearest neighbours (Å) after each atom.
Space group Fm-3m (No. 225)
One atom of each set of equivalent atoms:
Mg 0.0000 0.0000 0.0000 [4 per cell]  8 I 3.27
Si 0.0000 0.0000 0.5000 [4 per cell]  8 I 3.27
I 0.2500 0.2500 0.2500 [8 per cell]  4 Mg 3.27, 4 Si 3.27



Density functional theory data (GGA-PBE) for a relaxed K2CuIBr2 crystal.

Values from the calculation:
The formation energy (no corrections) comes out at -1.121 eV per atom. Its crystal system is orthorhombic.

abc: 14.5037 9.5044 6.9341
angles: 90.00 90.00 90.00
With the nearest neighbours (Å) after each atom.
Space group Cmc2_1 (No. 36)
One atom of each set of equivalent atoms:
K 0.1643 0.1600 0.0000 [8 per cell]  4 Br 3.24-3.56, 1 I 3.39
Cu 0.0000 0.3309 0.4308 [4 per cell]  2 Br 2.53, 2 I 2.60-2.66
I 0.0000 0.4086 0.0717 [4 per cell]  2 Cu 2.60-2.66
Br 0.1387 0.1800 0.5096 [8 per cell]  1 Cu 2.53



Density functional theory data (GGA-PBE) for a relaxed SrPa2SbS8 crystal.

Values from the calculation:
The formation energy (no corrections) comes out at -1.196 eV per atom. Its crystal system is monoclinic.

abc: 6.1492 8.3775 6.3802
angles: 90.00 92.22 90.00
With the nearest neighbours (Å) after each atom.
Space group P2/m (No. 10)
One atom of each set of equivalent atoms:
Sr 0.0000 0.0000 0.0000 [1 per cell]  6 S 2.93-2.95
Pa 0.5000 0.2523 0.5000 [2 per cell]  6 S 2.61-2.71
Sb 0.0000 0.5000 0.0000 [1 per cell]  6 S 2.61-2.84
S 0.2442 0.2755 0.1663 [4 per cell]  1 Pa 2.61, 1 Sb 2.61
S 0.2704 0.5000 0.6499 [2 per cell]  2 Pa 2.71, 1 Sb 2.84
S 0.2892 0.0000 0.6418 [2 per cell]  2 Pa 2.66, 1 Sr 2.95



Density functional theory data (GGA-PBE) for a relaxed Np2PaCuS5 crystal.

Values from the calculation:
The formation energy (no corrections) comes out at -1.243 eV per atom. Its crystal system is orthorhombic.

abc: 3.7870 16.0967 11.9159
angles: 90.00 90.00 90.00
With the nearest neighbours (Å) after each atom.
Space group Cmc2_1 (No. 36)
One atom of each set of equivalent atoms:
Np 0.0000 0.1166 0.0000 [4 per cell]  8 S 2.83-3.14
Np 0.0000 0.1172 0.3465 [4 per cell]  8 S 2.83-3.02
Pa 0.0000 0.1864 0.6779 [4 per cell]  6 S 2.66-2.75
Cu 0.0000 0.4492 0.0749 [4 per cell]  4 S 2.24-2.34
S 0.0000 0.0191 0.6721 [4 per cell]  2 Cu 2.28
S 0.0000 0.3031 0.3415 [4 per cell]  2 Pa 2.72, 3 Np 2.97-2.99
S 0.0000 0.3117 0.0102 [4 per cell]  1 Cu 2.34
S 0.0000 0.3514 0.6728 [4 per cell]  1 Pa 2.66, 4 Np 2.84-2.85
S 0.0000 0.4933 0.4038 [4 per cell]  1 Cu 2.24



Density functional theory data (GGA-PBE) for a relaxed Fe2HgGeOs crystal.

Values from the calculation:
The calculation puts the formation energy at 208.2 kJ/mol of atoms. Its crystal system is tetragonal.

abc: 4.8024 4.8024 4.7763
angles: 90.00 90.00 90.00
With the nearest neighbours (Å) after each atom.
Space group P4/mmm (No. 123)
One atom of each set of equivalent atoms:
Fe 0.0000 0.5000 0.0000 [2 per cell]  2 Hg 2.40
Hg 0.0000 0.0000 0.0000 [1 per cell]  2 Ge 2.39, 4 Fe 2.40
Ge 0.0000 0.0000 0.5000 [1 per cell]  2 Hg 2.39
Os 0.5000 0.5000 0.5000 [1 per cell]  8 Fe 3.39, 4 Ge 3.40



Density functional theory data (GGA-PBE) for a relaxed ZnAg3Pb crystal.

Values from the calculation:
The energy above the most stable polymorph in this dataset is 402 meV per atom. The calculation puts the formation energy at 70.9 kJ/mol of atoms. Its crystal system is cubic.

abc: 5.4006 5.4006 5.4006
angles: 90.00 90.00 90.00
With the nearest neighbours (Å) after each atom.
Space group Pm-3m (No. 221)
One atom of each set of equivalent atoms:
Zn 0.0000 0.0000 0.0000 [1 per cell]  12 Ag 3.82
Ag 0.0000 0.5000 0.5000 [3 per cell]  2 Pb 2.70
Pb 0.5000 0.5000 0.5000 [1 per cell]  6 Ag 2.70



Density functional theory data (GGA-PBE) for a relaxed ErCo2CuH8 crystal.

Values from the calculation:
The value obtained for the final energy is -4.06 eV/atom. Its crystal system is trigonal.

abc: 4.5412 4.5412 5.9753
angles: 90.00 90.00 120.00
With the nearest neighbours (Å) after each atom.
Space group P-3m1 (No. 164)
One atom of each set of equivalent atoms:
Er 0.0000 0.0000 0.0000 [1 per cell]  6 H 2.12
Co 0.3333 0.6667 0.3372 [2 per cell]  4 H 1.50-1.55
Cu 0.0000 0.0000 0.5000 [1 per cell]  6 H 1.66
H 0.1448 0.2896 0.2986 [6 per cell]  1 Co 1.50, 1 Cu 1.66
H 0.3333 0.6667 0.0786 [2 per cell]  1 Co 1.55



Density functional theory data (GGA-PBE) for a relaxed Y3Ho2TaN6 crystal.

Values from the calculation:
The formation energy (no corrections) comes out at -1.622 eV per atom. Its crystal system is monoclinic.

abc: 5.8686 10.1599 5.8650
angles: 90.00 109.49 90.00
With the nearest neighbours (Å) after each atom.
Space group C2/m (No. 12)
One atom of each set of equivalent atoms:
Y 0.0000 0.0000 0.0000 [2 per cell]  6 N 2.40-2.55
Y 0.0000 0.3335 0.0000 [4 per cell]  6 N 2.40-2.56
Ho 0.0000 0.1666 0.5000 [4 per cell]  6 N 2.40
Ta 0.0000 0.5000 0.5000 [2 per cell]  6 N 2.23-2.24
N 0.2331 0.3443 0.7321 [8 per cell]  1 Ta 2.23, 2 Ho 2.40, 2 Y 2.40-2.41
N 0.2335 0.5000 0.2652 [4 per cell]  1 Ta 2.24, 2 Y 2.40, 2 Ho 2.40



Density functional theory data (GGA-PBE) for a relaxed MnVZn4 crystal.

Values from the calculation:
The energy above the most stable polymorph in this dataset is 0 meV per atom. The calculation puts the formation energy at 0.9 kJ/mol of atoms. Its crystal system is cubic.

abc: 7.0076 7.0076 7.0076
angles: 90.00 90.00 90.00
With the nearest neighbours (Å) after each atom.
Space group F-43m (No. 216)
One atom of each set of equivalent atoms:
Mn 0.0000 0.0000 0.0000 [4 per cell]  12 Zn 2.90, 4 V 3.03
V 0.2500 0.2500 0.7500 [4 per cell]  12 Zn 2.91, 4 Mn 3.03
Zn 0.1253 0.1253 0.3747 [16 per cell]  6 Zn 2.47-2.48



Density functional theory data (GGA-PBE) for a relaxed SrSnAu2 crystal.

Values from the calculation:
The calculation puts the formation energy at -54.8 kJ/mol of atoms. Its crystal system is trigonal.

abc: 4.8174 4.8174 15.5474
angles: 90.00 90.00 120.00
With the nearest neighbours (Å) after each atom.
Space group R-3m (No. 166, hexagonal axes)
One atom of each set of equivalent atoms:
Sr 0.0000 0.0000 0.0000 [3 per cell]  8 Au 3.33-3.36
Sn 0.0000 0.0000 0.5000 [3 per cell]  6 Au 2.88
Au 0.0000 0.0000 0.2159 [6 per cell]  3 Sn 2.88, 3 Au 3.17



Density functional theory data (GGA-PBE) for a relaxed AuSCl3 crystal.

Values from the calculation:
The formation energy (no corrections) comes out at -0.194 eV per atom. The energy above the most stable polymorph in this dataset is 0 meV per atom. Its crystal system is monoclinic.

abc: 7.6790 26.6936 7.9756
angles: 90.00 111.65 90.00
With the nearest neighbours (Å) after each atom.
Space group C2/c (No. 15)
One atom of each set of equivalent atoms:
Au 0.0000 0.1792 0.2500 [4 per cell]  2 Cl 2.33
Au 0.0000 0.3205 0.7500 [4 per cell]  4 Cl 2.31-2.34
S 0.1341 0.0199 0.7847 [8 per cell]  1 S 1.93, 1 Cl 2.11
Cl 0.0627 0.3201 0.4878 [8 per cell]  1 Au 2.31
Cl 0.1799 0.1783 0.0709 [8 per cell]  2 Au 2.33-2.34
Cl 0.2160 0.0738 0.6342 [8 per cell]  1 S 2.11



Density functional theory data (GGA-PBE) for a relaxed Al2Hg2Bi crystal.

Values from the calculation:
The energy above the most stable polymorph in this dataset is 1 meV per atom. The calculation puts the formation energy at 18.8 kJ/mol of atoms. Its crystal system is tetragonal.

abc: 8.2316 8.2316 3.4522
angles: 90.00 90.00 90.00
With the nearest neighbours (Å) after each atom.
Space group P4/mbm (No. 127)
One atom of each set of equivalent atoms:
Al 0.1180 0.3820 0.0000 [4 per cell]  1 Al 2.75, 6 Hg 2.89-3.06
Hg 0.1827 0.6827 0.5000 [4 per cell]  6 Al 2.89-3.06
Bi 0.0000 0.0000 0.0000 [2 per cell]  4 Al 3.29, 2 Bi 3.45, 8 Hg 3.47



Density functional theory data (GGA-PBE) for a relaxed IrRu3Rh3 crystal.

Values from the calculation:
The energy above the most stable polymorph in this dataset is 0 meV per atom. The calculation puts the formation energy at 27.3 kJ/mol of atoms. Its crystal system is trigonal.

abc: 5.3876 5.3876 25.5868
angles: 90.00 90.00 120.00
With the nearest neighbours (Å) after each atom.
Space group R-3m (No. 166, hexagonal axes)
One atom of each set of equivalent atoms:
Ir 0.0000 0.0000 0.2064 [6 per cell]  9 Ru 2.69-2.70, 3 Rh 2.69
Ru 0.0132 0.5066 0.2109 [18 per cell]  6 Ru 2.59-2.80, 2 Rh 2.65, 3 Ir 2.69-2.70
Rh 0.0074 0.5037 0.3734 [18 per cell]  6 Rh 2.59-2.75, 2 Ru 2.65, 1 Ir 2.69



Density functional theory data (GGA-PBE) for a relaxed Rb2SIBr6 crystal.

Values from the calculation:
The formation energy (no corrections) comes out at -0.664 eV per atom. Its crystal system is tetragonal.

abc: 7.8847 7.8847 11.9887
angles: 90.00 90.00 90.00
With the nearest neighbours (Å) after each atom.
Space group I4/mmm (No. 139)
One atom of each set of equivalent atoms:
Rb 0.0000 0.5000 0.2500 [4 per cell]  12 Br 3.97-4.10
S 0.0000 0.0000 0.0000 [2 per cell]  6 Br 2.52-2.66
I 0.0000 0.0000 0.5000 [2 per cell]  4 Br 2.91
Br 0.0000 0.0000 0.2101 [4 per cell]  1 S 2.52
Br 0.2390 0.2390 0.0000 [8 per cell]  1 S 2.66, 1 I 2.91



Density functional theory data (GGA-PBE) for a relaxed ScAgS3 crystal.

Values from the calculation:
The formation energy (no corrections) comes out at 0.055 eV per atom. The energy above the most stable polymorph in this dataset is 339 meV per atom. Its crystal system is cubic.

abc: 4.7535 4.7535 4.7535
angles: 90.00 90.00 90.00
With the nearest neighbours (Å) after each atom.
Space group Pm-3m (No. 221)
One atom of each set of equivalent atoms:
Sc 0.0000 0.0000 0.0000 [1 per cell]  12 S 3.36
Ag 0.5000 0.5000 0.5000 [1 per cell]  6 S 2.38
S 0.0000 0.5000 0.5000 [3 per cell]  2 Ag 2.38



Density functional theory data (GGA-PBE) for a relaxed Mg2AgPdCl crystal.

Values from the calculation:
The formation energy (no corrections) comes out at 0.195 eV per atom. Its crystal system is tetragonal.

abc: 5.1539 5.1539 5.0264
angles: 90.00 90.00 90.00
With the nearest neighbours (Å) after each atom.
Space group P4/mmm (No. 123)
One atom of each set of equivalent atoms:
Mg 0.0000 0.5000 0.0000 [2 per cell]  2 Ag 2.58
Ag 0.0000 0.0000 0.0000 [1 per cell]  2 Pd 2.51, 4 Mg 2.58
Pd 0.0000 0.0000 0.5000 [1 per cell]  2 Ag 2.51
Cl 0.5000 0.5000 0.5000 [1 per cell]  8 Mg 3.60, 4 Pd 3.64



Density functional theory data (GGA-PBE) for a relaxed Y2AlTlO6 crystal.

Values from the calculation:
The formation energy (no corrections) comes out at -2.461 eV per atom. Its crystal system is tetragonal.

abc: 5.2670 5.2670 5.1352
angles: 90.00 90.00 90.00
With the nearest neighbours (Å) after each atom.
Space group P4mm (No. 99)
One atom of each set of equivalent atoms:
Y 0.0000 0.5000 0.0000 [2 per cell]  4 O 2.26
Al 0.0000 0.0000 0.6125 [1 per cell]  5 O 1.80-1.88
Tl 0.5000 0.5000 0.5564 [1 per cell]  5 O 2.10-2.22
O 0.0000 0.0000 0.2614 [1 per cell]  1 Al 1.80
O 0.2339 0.2339 0.7523 [4 per cell]  1 Al 1.88
O 0.5000 0.5000 0.1480 [1 per cell]  1 Tl 2.10